Entry 1:
DFT (GGA-PBE) results for a relaxed GaTcSn crystal.

Calculated values
E_tot   -17.69 eV for the cell shown
DFT formation energy   -0.10 eV/atom

Structure (POSCAR):
```
GaTcSn
1.0
-1.697 1.697 4.411
1.697 -1.697 4.411
1.697 1.697 -4.411
Ga Tc Sn
1 1 1
Cartesian
0.000 0.000 0.000 Ga
0.000 0.000 5.666 Tc
0.000 0.000 2.784 Sn
```



Entry 2:
DFT (GGA-PBE) results for a relaxed ErMgTl2F6 crystal.

Calculated values
Energy relative to the elements, uncorrected   -2.87 eV/atom
E_tot   -50.80 eV for the cell shown

Structure (POSCAR):
```
ErMgTl2F6
1.0
0.000 4.332 4.332
4.332 0.000 4.332
4.332 4.332 0.000
Er Mg Tl F
1 1 2 6
Cartesian
0.000 0.000 0.000 Er
4.332 4.332 4.332 Mg
2.166 2.166 2.166 Tl
6.498 6.498 6.498 Tl
4.332 4.332 2.223 F
4.332 2.223 4.332 F
6.441 4.332 4.332 F
2.223 4.332 4.332 F
4.332 6.441 4.332 F
4.332 4.332 6.441 F
```



Entry 3:
DFT (GGA-PBE) results for a relaxed Tb5Y2In3 crystal.

Calculated values
E_tot   -89.74 eV for the cell shown
DFT formation energy   -0.06 eV/atom

Structure (POSCAR):
```
Tb5Y2In3
1.0
-6.317 7.625 3.279
6.317 -7.625 3.279
6.317 7.625 -3.279
Tb Y In
10 4 6
Cartesian
7.290 2.446 0.000 Tb
0.000 0.000 1.639 Tb
3.265 0.000 1.639 Tb
9.369 0.000 1.639 Tb
0.973 5.179 0.000 Tb
5.344 2.446 3.279 Tb
-3.052 7.625 1.639 Tb
3.052 7.625 1.639 Tb
0.000 0.000 4.918 Tb
-0.973 5.179 3.279 Tb
4.447 -4.555 3.279 Y
4.447 4.555 0.000 Y
1.870 3.070 3.279 Y
1.870 12.180 0.000 Y
1.730 2.259 0.000 In
6.317 0.000 1.639 In
8.047 5.366 0.000 In
-1.730 2.259 3.279 In
0.000 7.625 1.639 In
4.587 5.366 3.279 In
```



Entry 4:
DFT (GGA-PBE) results for a relaxed Ta2TlRh crystal.

Calculated values
E_tot   -32.02 eV for the cell shown
DFT formation energy   0.35 eV/atom

Structure (POSCAR):
```
Ta2TlRh
1.0
0.000 3.315 3.315
3.315 0.000 3.315
3.315 3.315 0.000
Ta Tl Rh
2 1 1
Cartesian
0.000 0.000 0.000 Ta
1.658 1.658 1.658 Ta
3.315 3.315 3.315 Tl
4.973 4.973 4.973 Rh
```



Entry 5:
DFT (GGA-PBE) results for a relaxed BaTe2W crystal.

Calculated values
Energy relative to the elements, uncorrected   0.70 eV/atom
E_tot   -18.34 eV for the cell shown

Structure (POSCAR):
```
BaTe2W
1.0
1.763 1.018 10.820
-1.763 1.018 10.820
0.000 -2.036 10.820
Ba Te W
1 2 1
Cartesian
0.000 0.000 0.000 Ba
0.000 0.000 13.637 Te
0.000 0.000 18.824 Te
0.000 0.000 16.230 W
```



Entry 6:
DFT (GGA-PBE) results for a relaxed RbZr2As3O12 crystal.

Calculated values
Energy relative to the elements, uncorrected   -2.06 eV/atom
E_tot   -257.12 eV for the cell shown

Structure (POSCAR):
```
RbZr2As3O12
1.0
4.594 2.653 8.484
-4.594 2.653 8.484
0.000 -5.305 8.484
Rb Zr As O
2 4 6 24
Cartesian
0.000 0.000 0.000 Rb
0.000 0.000 12.726 Rb
0.000 0.000 3.795 Zr
0.000 0.000 8.931 Zr
0.000 0.000 16.521 Zr
0.000 0.000 21.656 Zr
-3.302 -0.414 10.605 As
-1.292 -3.067 14.846 As
2.010 -2.653 10.605 As
-2.010 2.653 14.846 As
1.292 3.067 10.605 As
3.302 0.414 14.846 As
-3.377 -1.439 11.970 O
-2.950 -2.886 14.474 O
-3.975 1.112 10.978 O
-0.442 -1.661 7.728 O
-1.644 -0.234 10.232 O
-1.217 1.214 7.728 O
-0.442 -3.644 13.481 O
1.025 -3.998 10.978 O
-2.935 2.205 13.481 O
1.025 -1.307 10.232 O
-0.620 -1.541 15.219 O
-1.660 -0.447 17.723 O
1.660 0.447 7.728 O
0.620 1.541 10.232 O
-1.025 1.307 15.219 O
2.935 -2.205 11.970 O
-1.025 3.998 14.474 O
0.442 3.644 11.970 O
1.217 -1.214 17.723 O
1.644 0.234 15.219 O
0.442 1.661 17.723 O
3.975 -1.112 14.474 O
2.950 2.886 10.978 O
3.377 1.439 13.481 O
```



Entry 7:
DFT (GGA-PBE) results for a relaxed LiCuS crystal.

Calculated values
Energy relative to the elements, uncorrected   -0.65 eV/atom
E_tot   -12.10 eV for the cell shown

Structure (POSCAR):
```
LiCuS
1.0
3.847 0.000 0.000
-1.923 3.331 0.000
0.000 0.000 3.708
Li Cu S
1 1 1
Cartesian
0.000 0.000 0.000 Li
1.923 1.110 1.854 Cu
0.000 2.221 1.854 S
```



Entry 8:
DFT (GGA-PBE) results for a relaxed ScMn2Fe crystal.

Calculated values
E_tot   -32.48 eV for the cell shown
DFT formation energy   0.16 eV/atom

Structure (POSCAR):
```
ScMn2Fe
1.0
3.908 0.000 0.000
0.000 3.908 0.000
0.000 0.000 3.912
Sc Mn Fe
1 2 1
Cartesian
0.000 0.000 0.000 Sc
0.000 1.954 1.956 Mn
1.954 0.000 1.956 Mn
1.954 1.954 0.000 Fe
```